(1)
Computed, not measured: Rh2Cl after structural relaxation at the GGA-PBE level of DFT.

Unit cell a=3.896 b=3.896 c=3.585 alpha=90.00 beta=90.00 gamma=120.00
Positions (direct):
Rh 0.333 0.667 0.326
Rh 0.667 0.333 0.674
Cl 0.000 0.000 0.000

Total DFT energy (no corrections)   -0.3718 Ry/atom
Uncorrected formation energy   458 meV/atom
Energy relative to the lowest polymorph listed for this composition   22.89 kJ/mol of atoms

---

(2)
Computed, not measured: RhCl6 after structural relaxation at the GGA-PBE level of DFT.

Unit cell a=8.329 b=10.469 c=8.243 alpha=90.00 beta=90.00 gamma=90.00
Positions (direct):
Rh 0.159 0.250 0.028
Rh 0.341 0.750 0.528
Rh 0.659 0.250 0.472
Rh 0.841 0.750 0.972
Cl 0.051 0.590 0.937
Cl 0.051 0.910 0.937
Cl 0.104 0.250 0.757
Cl 0.151 0.596 0.499
Cl 0.151 0.904 0.499
Cl 0.200 0.250 0.310
Cl 0.300 0.750 0.810
Cl 0.349 0.096 0.999
Cl 0.349 0.404 0.999
Cl 0.396 0.750 0.257
Cl 0.449 0.090 0.437
Cl 0.449 0.410 0.437
Cl 0.551 0.590 0.563
Cl 0.551 0.910 0.563
Cl 0.604 0.250 0.743
Cl 0.651 0.596 0.001
Cl 0.651 0.904 0.001
Cl 0.700 0.250 0.190
Cl 0.800 0.750 0.690
Cl 0.849 0.096 0.501
Cl 0.849 0.404 0.501
Cl 0.896 0.750 0.243
Cl 0.949 0.090 0.063
Cl 0.949 0.410 0.063

Total DFT energy (no corrections)   -0.2065 Ry/atom
Uncorrected formation energy   -176 meV/atom

---

(3)
Computed, not measured: RhCl after structural relaxation at the GGA-PBE level of DFT.

Unit cell a=7.130 b=6.849 c=5.207 alpha=71.03 beta=65.29 gamma=43.69
Positions (direct):
Rh 0.023 0.023 0.227
Rh 0.227 0.227 0.023
Rh 0.773 0.773 0.977
Rh 0.977 0.977 0.773
Cl 0.169 0.581 0.169
Cl 0.419 0.831 0.419
Cl 0.581 0.169 0.581
Cl 0.831 0.419 0.831

Total DFT energy (no corrections)   -0.3159 Ry/atom
Uncorrected formation energy   300 meV/atom

---

(4)
Computed, not measured: Rh3Cl after structural relaxation at the GGA-PBE level of DFT.

Unit cell a=5.010 b=5.010 c=5.010 alpha=116.35 beta=116.35 gamma=116.35
Positions (direct):
Rh 0.000 0.500 0.500
Rh 0.500 0.000 0.500
Rh 0.500 0.500 0.000
Cl 0.000 0.000 0.000

Total DFT energy (no corrections)   -0.3888 Ry/atom
Uncorrected formation energy   685 meV/atom
Energy relative to the lowest polymorph listed for this composition   38.62 kJ/mol of atoms

---

(5)
Computed, not measured: RhCl after structural relaxation at the GGA-PBE level of DFT.

Unit cell a=3.962 b=4.294 c=6.221 alpha=90.00 beta=90.00 gamma=90.00
Positions (direct):
Rh 0.250 0.000 0.119
Rh 0.750 0.000 0.881
Cl 0.250 0.500 0.235
Cl 0.750 0.500 0.765

Total DFT energy (no corrections)   -0.3265 Ry/atom
Uncorrected formation energy   157 meV/atom

---

(6)
Computed, not measured: RhCl after structural relaxation at the GGA-PBE level of DFT.

Unit cell a=9.621 b=4.276 c=5.386 alpha=90.00 beta=90.00 gamma=90.00
Positions (direct):
Rh 0.000 0.231 0.000
Rh 0.225 0.460 0.775
Rh 0.275 0.540 0.275
Rh 0.500 0.769 0.500
Rh 0.725 0.540 0.275
Rh 0.775 0.460 0.775
Cl 0.000 0.724 0.799
Cl 0.164 0.025 0.294
Cl 0.336 0.975 0.794
Cl 0.500 0.276 0.299
Cl 0.664 0.975 0.794
Cl 0.836 0.025 0.294

Total DFT energy (no corrections)   -0.3256 Ry/atom
Uncorrected formation energy   169 meV/atom

---

(7)
Computed, not measured: Rh3Cl4 after structural relaxation at the GGA-PBE level of DFT.

Unit cell a=5.624 b=5.624 c=4.659 alpha=90.00 beta=90.00 gamma=120.00
Positions (direct):
Rh 0.000 0.500 0.000
Rh 0.500 0.000 0.000
Rh 0.500 0.500 0.000
Cl 0.000 0.000 0.253
Cl 0.000 0.000 0.747
Cl 0.333 0.667 0.500
Cl 0.667 0.333 0.500

Total DFT energy (no corrections)   -0.2613 Ry/atom
Uncorrected formation energy   651 meV/atom
Energy relative to the lowest polymorph listed for this composition   77.46 kJ/mol of atoms

---

(8)
Computed, not measured: RhCl after structural relaxation at the GGA-PBE level of DFT.

Unit cell a=3.076 b=3.076 c=9.379 alpha=90.00 beta=90.00 gamma=124.00
Positions (direct):
Rh 0.250 0.750 0.881
Rh 0.750 0.250 0.119
Cl 0.250 0.750 0.321
Cl 0.750 0.250 0.679

Total DFT energy (no corrections)   -0.3181 Ry/atom
Uncorrected formation energy   270 meV/atom